Entry 1:
Density functional theory data (PBE) for a geometry-optimized HfNbGe4Au2 structure.

Cell: 3.8650 3.8650 9.5118 Å, 90.00 90.00 90.00°
Fractional positions:
Hf (0.0000, 0.0000, 0.0000)
Nb (0.5000, 0.5000, 0.5600)
Ge (0.0000, 0.0000, 0.4910)
Ge (0.0000, 0.5000, 0.7736)
Ge (0.5000, 0.0000, 0.7736)
Ge (0.5000, 0.5000, 0.0654)
Au (0.0000, 0.5000, 0.2793)
Au (0.5000, 0.0000, 0.2793)

Properties
Space group   P4mm (99)

=====

Entry 2:
Density functional theory data (PBE) for a geometry-optimized HfZrGe4Au2 structure.

Cell: 3.9452 3.9452 9.4344 Å, 90.00 90.00 90.00°
Fractional positions:
Hf (0.0000, 0.0000, 0.0000)
Zr (0.5000, 0.5000, 0.4570)
Ge (0.0000, 0.0000, 0.5195)
Ge (0.0000, 0.5000, 0.2271)
Ge (0.5000, 0.0000, 0.2271)
Ge (0.5000, 0.5000, 0.9419)
Au (0.0000, 0.5000, 0.7309)
Au (0.5000, 0.0000, 0.7309)

Properties
Space group   P4mm (99)

=====

Entry 3:
Density functional theory data (PBE) for a geometry-optimized HgGeAu structure.

Cell: 4.6039 4.6039 4.6039 Å, 60.00 60.00 60.00°
Fractional positions:
Hg (0.0000, 0.0000, 0.0000)
Ge (0.5000, 0.5000, 0.5000)
Au (0.7500, 0.7500, 0.7500)

Properties
Space group   F-43m (216)

=====

Entry 4:
Density functional theory data (PBE) for a geometry-optimized HgGeAu2 structure.

Cell: 4.8269 4.8269 4.8269 Å, 60.00 60.00 60.00°
Fractional positions:
Hg (0.0000, 0.0000, 0.0000)
Ge (0.7500, 0.7500, 0.7500)
Au (0.2500, 0.2500, 0.2500)
Au (0.5000, 0.5000, 0.5000)

Properties
Space group   F-43m (216)

=====

Entry 5:
Density functional theory data (PBE) for a geometry-optimized HoGeAu structure.

Cell: 7.2984 7.2984 4.1233 Å, 90.00 90.00 120.00°
Fractional positions:
Ho (0.0000, 0.6013, 0.0000)
Ho (0.3987, 0.3987, 0.0000)
Ho (0.6013, 0.0000, 0.0000)
Ge (0.0000, 0.2653, 0.5000)
Ge (0.2653, 0.0000, 0.5000)
Ge (0.7347, 0.7347, 0.5000)
Au (0.0000, 0.0000, 0.0000)
Au (0.3333, 0.6667, 0.5000)
Au (0.6667, 0.3333, 0.5000)

Properties
Space group   P-62m (189)

=====

Entry 6:
Density functional theory data (PBE) for a geometry-optimized HoGeAu structure.

Cell: 4.6134 4.6134 4.6134 Å, 60.00 60.00 60.00°
Fractional positions:
Ho (0.0000, 0.0000, 0.0000)
Ge (0.5000, 0.5000, 0.5000)
Au (0.2500, 0.2500, 0.2500)

Properties
Space group   F-43m (216)

=====

Entry 7:
Density functional theory data (PBE) for a geometry-optimized HoGeAu structure.

Cell: 7.1405 7.1405 4.1688 Å, 90.00 90.00 120.00°
Fractional positions:
Ho (0.0000, 0.5874, 0.0000)
Ho (0.4126, 0.4126, 0.0000)
Ho (0.5874, 0.0000, 0.0000)
Ge (0.0000, 0.0000, 0.0000)
Ge (0.3333, 0.6667, 0.5000)
Ge (0.6667, 0.3333, 0.5000)
Au (0.0000, 0.2618, 0.5000)
Au (0.2618, 0.0000, 0.5000)
Au (0.7382, 0.7382, 0.5000)

Properties
Space group   P-62m (189)

=====

Entry 8:
Density functional theory data (PBE) for a geometry-optimized HoGeAu structure.

Cell: 4.4701 4.4701 7.2752 Å, 90.00 90.00 120.00°
Fractional positions:
Ho (0.0000, 0.0000, 0.0000)
Ho (0.0000, 0.0000, 0.5000)
Ge (0.3333, 0.6667, 0.2068)
Ge (0.6667, 0.3333, 0.7068)
Au (0.3333, 0.6667, 0.7933)
Au (0.6667, 0.3333, 0.2933)

Properties
Space group   P6_3mc (186)

=====

Entry 9:
Density functional theory data (PBE) for a geometry-optimized HoGeAu structure.

Cell: 7.7597 7.7597 3.7400 Å, 90.00 90.00 120.00°
Fractional positions:
Ho (0.0000, 0.2808, 0.0000)
Ho (0.2808, 0.0000, 0.0000)
Ho (0.7192, 0.7192, 0.0000)
Ge (0.0000, 0.0000, 0.5000)
Ge (0.3333, 0.6667, 0.0000)
Ge (0.6667, 0.3333, 0.0000)
Au (0.0000, 0.6229, 0.5000)
Au (0.3771, 0.3771, 0.5000)
Au (0.6229, 0.0000, 0.5000)

Properties
Space group   P-62m (189)

=====

Entry 10:
Density functional theory data (PBE) for a geometry-optimized NdHoGe2Au2 structure.

Cell: 4.4944 4.4944 7.4983 Å, 90.00 90.00 120.00°
Fractional positions:
Nd (0.0000, 0.0000, 0.0000)
Ho (0.0000, 0.0000, 0.4974)
Ge (0.3333, 0.6667, 0.7023)
Ge (0.6667, 0.3333, 0.2157)
Au (0.3333, 0.6667, 0.3000)
Au (0.6667, 0.3333, 0.7625)

Properties
Space group   P3m1 (156)

=====

Entry 11:
Density functional theory data (PBE) for a geometry-optimized PrHoGe2Au2 structure.

Cell: 4.5058 4.5058 7.5463 Å, 90.00 90.00 120.00°
Fractional positions:
Pr (0.0000, 0.0000, 0.0000)
Ho (0.0000, 0.0000, 0.4968)
Ge (0.3333, 0.6667, 0.2188)
Ge (0.6667, 0.3333, 0.7011)
Au (0.3333, 0.6667, 0.7546)
Au (0.6667, 0.3333, 0.3018)

Properties
Space group   P3m1 (156)

=====

Entry 12:
Density functional theory data (PBE) for a geometry-optimized HoGeAuSe2S structure.

Cell: 6.9293 6.9293 10.1914 Å, 90.00 90.00 146.90°
Fractional positions:
Ho (0.0000, 0.0000, 0.0000)
Ho (0.0000, 0.0000, 0.5000)
Ge (0.2512, 0.7488, 0.7500)
Ge (0.7488, 0.2512, 0.2500)
Au (0.4745, 0.5255, 0.2500)
Au (0.5255, 0.4745, 0.7500)
Se (0.3464, 0.6536, 0.0593)
Se (0.3464, 0.6536, 0.4407)
Se (0.6536, 0.3464, 0.5593)
Se (0.6536, 0.3464, 0.9407)
S (0.1006, 0.8994, 0.2500)
S (0.8994, 0.1006, 0.7500)

Properties
Space group   Cmcm (63)

=====

Entry 13:
Density functional theory data (PBE) for a geometry-optimized HoGeAuSeS2 structure.

Cell: 7.2449 7.2449 10.3541 Å, 90.00 90.00 147.87°
Fractional positions:
Ho (0.0000, 0.0000, 0.0000)
Ho (0.0000, 0.0000, 0.5000)
Ge (0.3017, 0.6983, 0.7500)
Ge (0.6983, 0.3017, 0.2500)
Au (0.3469, 0.6531, 0.2500)
Au (0.6531, 0.3469, 0.7500)
Se (0.0751, 0.9249, 0.2500)
Se (0.9249, 0.0751, 0.7500)
S (0.3667, 0.6333, 0.0233)
S (0.3667, 0.6333, 0.4767)
S (0.6333, 0.3667, 0.5233)
S (0.6333, 0.3667, 0.9767)

Properties
Space group   Cmcm (63)

=====

Entry 14:
Density functional theory data (PBE) for a geometry-optimized HoGeTe2AuS structure.

Cell: 7.6458 7.6458 9.9710 Å, 90.00 90.00 148.47°
Fractional positions:
Ho (0.0000, 0.0000, 0.0000)
Ho (0.0000, 0.0000, 0.5000)
Ge (0.2371, 0.7629, 0.7500)
Ge (0.7629, 0.2371, 0.2500)
Te (0.3431, 0.6569, 0.0565)
Te (0.3431, 0.6569, 0.4435)
Te (0.6569, 0.3431, 0.5565)
Te (0.6569, 0.3431, 0.9435)
Au (0.4826, 0.5174, 0.2500)
Au (0.5174, 0.4826, 0.7500)
S (0.0802, 0.9198, 0.2500)
S (0.9198, 0.0802, 0.7500)

Properties
Space group   Cmcm (63)

=====

Entry 15:
Density functional theory data (PBE) for a geometry-optimized HoScGe2Au2 structure.

Cell: 4.4161 4.4161 7.0970 Å, 90.00 90.00 120.00°
Fractional positions:
Ho (0.0000, 0.0000, 0.0000)
Sc (0.0000, 0.0000, 0.4997)
Ge (0.3333, 0.6667, 0.2132)
Ge (0.6667, 0.3333, 0.6970)
Au (0.3333, 0.6667, 0.7856)
Au (0.6667, 0.3333, 0.3083)

Properties
Space group   P3m1 (156)

=====

Entry 16:
Density functional theory data (PBE) for a geometry-optimized HoGeAuSe3 structure.

Cell: 7.1384 7.1384 10.6796 Å, 90.00 90.00 147.96°
Fractional positions:
Ho (0.0000, 0.0000, 0.0000)
Ho (0.0000, 0.0000, 0.5000)
Ge (0.1926, 0.8074, 0.7500)
Ge (0.8074, 0.1926, 0.2500)
Au (0.4674, 0.5326, 0.2500)
Au (0.5326, 0.4674, 0.7500)
Se (0.0957, 0.9043, 0.2500)
Se (0.3512, 0.6488, 0.0549)
Se (0.3512, 0.6488, 0.4451)
Se (0.6488, 0.3512, 0.5549)
Se (0.6488, 0.3512, 0.9451)
Se (0.9043, 0.0957, 0.7500)

Properties
Space group   Cmcm (63)

=====

Entry 17:
Density functional theory data (PBE) for a geometry-optimized HoGeTe2AuSe structure.

Cell: 7.5582 7.5582 10.2911 Å, 90.00 90.00 148.13°
Fractional positions:
Ho (0.0000, 0.0000, 0.0000)
Ho (0.0000, 0.0000, 0.5000)
Ge (0.2401, 0.7599, 0.7500)
Ge (0.7599, 0.2401, 0.2500)
Te (0.3437, 0.6563, 0.0606)
Te (0.3437, 0.6563, 0.4394)
Te (0.6563, 0.3437, 0.5606)
Te (0.6563, 0.3437, 0.9394)
Au (0.4799, 0.5201, 0.2500)
Au (0.5201, 0.4799, 0.7500)
Se (0.0955, 0.9045, 0.2500)
Se (0.9045, 0.0955, 0.7500)

Properties
Space group   Cmcm (63)

=====

Entry 18:
Density functional theory data (PBE) for a geometry-optimized HoGeTeAuSe2 structure.

Cell: 7.2381 7.2381 11.0797 Å, 90.00 90.00 148.00°
Fractional positions:
Ho (0.0000, 0.0000, 0.0000)
Ho (0.0000, 0.0000, 0.5000)
Ge (0.1823, 0.8177, 0.7500)
Ge (0.8177, 0.1823, 0.2500)
Te (0.1121, 0.8879, 0.2500)
Te (0.8879, 0.1121, 0.7500)
Au (0.4727, 0.5273, 0.2500)
Au (0.5273, 0.4727, 0.7500)
Se (0.3573, 0.6427, 0.0596)
Se (0.3573, 0.6427, 0.4404)
Se (0.6427, 0.3573, 0.5596)
Se (0.6427, 0.3573, 0.9404)

Properties
Space group   Cmcm (63)

=====

Entry 19:
Density functional theory data (PBE) for a geometry-optimized Ho3Si2Ge2Au4 structure.

Cell: 8.2977 8.2977 8.2977 Å, 150.06 130.27 59.14°
Fractional positions:
Ho (0.0000, 0.0000, 0.0000)
Ho (0.3748, 0.8748, 0.5000)
Ho (0.6252, 0.1252, 0.5000)
Si (0.2160, 0.2160, 0.0000)
Si (0.7840, 0.7840, 0.0000)
Ge (0.3129, 0.5000, 0.8129)
Ge (0.6871, 0.5000, 0.1871)
Au (0.0304, 0.3281, 0.7023)
Au (0.3742, 0.6719, 0.7023)
Au (0.6258, 0.3281, 0.2977)
Au (0.9696, 0.6719, 0.2977)

Properties
Space group   Immm (71)

=====

Entry 20:
Density functional theory data (PBE) for a geometry-optimized Ho2SiGeAu2 structure.

Cell: 4.4174 4.4174 7.3066 Å, 90.00 90.00 120.00°
Fractional positions:
Ho (0.0000, 0.0000, 0.0000)
Ho (0.0000, 0.0000, 0.5001)
Si (0.6667, 0.3333, 0.2858)
Ge (0.3333, 0.6667, 0.7964)
Au (0.3333, 0.6667, 0.2255)
Au (0.6667, 0.3333, 0.7073)

Properties
Space group   P3m1 (156)

=====

Entry 21:
Density functional theory data (PBE) for a geometry-optimized TbHo2Ge4Au4 structure.

Cell: 13.2809 13.2809 13.2809 Å, 162.26 161.11 26.03°
Fractional positions:
Tb (0.0000, 0.0000, 0.0000)
Ho (0.3512, 0.8512, 0.5000)
Ho (0.6488, 0.1488, 0.5000)
Ge (0.1884, 0.6884, 0.5000)
Ge (0.4526, 0.4526, 0.0000)
Ge (0.5474, 0.5474, 0.0000)
Ge (0.8116, 0.3116, 0.5000)
Au (0.0930, 0.5930, 0.5000)
Au (0.2545, 0.2545, 0.0000)
Au (0.7455, 0.7455, 0.0000)
Au (0.9070, 0.4070, 0.5000)

Properties
Space group   Immm (71)

=====

Entry 22:
Density functional theory data (PBE) for a geometry-optimized HoTm2Ge4Au4 structure.

Cell: 8.3730 8.3730 8.3730 Å, 150.07 130.22 59.18°
Fractional positions:
Ho (0.0000, 0.0000, 0.0000)
Tm (0.3744, 0.8744, 0.5000)
Tm (0.6256, 0.1256, 0.5000)
Ge (0.2161, 0.2161, 0.0000)
Ge (0.3161, 0.5000, 0.8161)
Ge (0.6839, 0.5000, 0.1839)
Ge (0.7839, 0.7839, 0.0000)
Au (0.0365, 0.3333, 0.7032)
Au (0.3700, 0.6667, 0.7032)
Au (0.6300, 0.3333, 0.2968)
Au (0.9635, 0.6667, 0.2968)

Properties
Space group   Immm (71)

=====

Entry 23:
Density functional theory data (PBE) for a geometry-optimized YHoGe2Au2 structure.

Cell: 4.4758 4.4758 7.2998 Å, 90.00 90.00 120.00°
Fractional positions:
Y (0.0000, 0.0000, 0.0000)
Ho (0.0000, 0.0000, 0.4996)
Ge (0.3333, 0.6667, 0.7055)
Ge (0.6667, 0.3333, 0.2083)
Au (0.3333, 0.6667, 0.2931)
Au (0.6667, 0.3333, 0.7858)

Properties
Space group   P3m1 (156)

=====

Entry 24:
Density functional theory data (PBE) for a geometry-optimized Li4InGeAu2 structure.

Cell: 4.4725 4.4725 6.4530 Å, 90.00 90.00 90.00°
Fractional positions:
Li (0.0000, 0.0000, 0.0000)
Li (0.0000, 0.5000, 0.7268)
Li (0.5000, 0.0000, 0.2732)
Li (0.5000, 0.5000, 0.5000)
In (0.5000, 0.5000, 0.0000)
Ge (0.0000, 0.0000, 0.5000)
Au (0.0000, 0.5000, 0.2689)
Au (0.5000, 0.0000, 0.7311)

Properties
Space group   P-4m2 (115)

=====

| no. | final energy (eV/atom) |
| --- | --- |
| 1 | -5.871 |
| 2 | -5.821 |
| 3 | -2.619 |
| 4 | -2.677 |
| 5 | -4.853 |
| 6 | -4.909 |
| 7 | -4.966 |
| 8 | -4.982 |
| 9 | -4.669 |
| 10 | -5.022 |
| 11 | -5.023 |
| 12 | -4.651 |
| 13 | -4.885 |
| 14 | -4.392 |
| 15 | -5.222 |
| 16 | -4.560 |
| 17 | -4.282 |
| 18 | -4.452 |
| 19 | -4.942 |
| 20 | -5.105 |
| 21 | -4.751 |
| 22 | -4.744 |
| 23 | -5.304 |
| 24 | -3.174 |